No. 1
Here is Be2Co2Sb at its PBEsol-relaxed geometry from Alexandria. Energies are from SCAN.

Structure (extended XYZ):
```
10
Lattice="-1.034 -2.521 0.908 2.248 1.176 5.824 -5.484 2.807 1.550" Properties=species:S:1:pos:R:3 pbc="T T T"
Sb 0.000 0.000 0.000
Sb -1.618 1.992 3.687
Co -3.881 2.806 3.371
Co -1.638 2.822 5.966
Co 0.645 1.178 4.004
Co -1.597 1.162 1.408
Be -3.683 0.666 2.196
Be -3.863 1.921 5.477
Be -0.586 0.797 6.086
Be -0.407 -0.458 2.806
```

## Properties
**Density of states at the Fermi level**: 3.3 states/eV/cell
**E_form (uncorrected)**: 0.146 eV/atom
**Offset from the most stable computed form**: 0.020 eV/atom
**SG**: P4/mbm (127)
**Uncorrected energy**: -159.69 eV/cell


No. 2
Here is BeCoSb2 at its PBEsol-relaxed geometry from Alexandria. Energies are from SCAN.

Structure (extended XYZ):
```
4
Lattice="-3.902 0.855 0.230 -2.555 -2.987 2.549 -1.493 1.413 4.210" Properties=species:S:1:pos:R:3 pbc="T T T"
Sb -4.013 -0.977 5.154
Sb -3.938 0.258 1.835
Co -2.024 -0.787 3.379
Be -1.951 0.428 0.115
```

## Properties
**Density of states at the Fermi level**: 2.2 states/eV/cell
**E_form (uncorrected)**: 0.611 eV/atom
**SG**: Immm (71)
**Uncorrected energy**: -93.73 eV/cell


No. 3
Here is Be2CoSb at its PBEsol-relaxed geometry from Alexandria. Energies are from SCAN.

Structure (extended XYZ):
```
4
Lattice="3.601 0.000 0.000 0.000 3.645 0.000 0.000 0.000 3.645" Properties=species:S:1:pos:R:3 pbc="T T T"
Sb 1.801 0.000 0.000
Co 1.801 1.823 1.823
Be 0.000 0.000 1.823
Be 0.000 1.823 0.000
```

## Properties
**Density of states at the Fermi level**: 1.1 states/eV/cell
**E_form (uncorrected)**: 0.277 eV/atom
**SG**: P4/mmm (123)
**Uncorrected energy**: -62.16 eV/cell


No. 4
Here is Be2Co2Sb at its PBEsol-relaxed geometry from Alexandria. Energies are from SCAN.

Structure (extended XYZ):
```
10
Lattice="2.856 0.000 0.000 0.000 6.209 0.000 0.000 0.000 6.209" Properties=species:S:1:pos:R:3 pbc="T T T"
Sb 0.000 0.000 0.000
Sb 0.000 3.104 3.104
Co 1.428 1.021 4.126
Co 1.428 4.126 5.187
Co 1.428 5.187 2.083
Co 1.428 2.083 1.021
Be 0.000 2.375 5.480
Be 0.000 5.480 3.833
Be 0.000 3.833 0.729
Be 0.000 0.729 2.375
```

## Properties
**Density of states at the Fermi level**: 3.4 states/eV/cell
**E_form (uncorrected)**: 0.126 eV/atom
**Offset from the most stable computed form**: 0.000 eV/atom
**SG**: P4/mbm (127)
**Uncorrected energy**: -159.89 eV/cell


No. 5
Here is Be2CoSb at its PBEsol-relaxed geometry from Alexandria. Energies are from SCAN.

Structure (extended XYZ):
```
4
Lattice="3.123 0.000 0.000 0.000 3.123 0.000 0.000 0.000 5.028" Properties=species:S:1:pos:R:3 pbc="T T T"
Sb 1.561 1.561 3.713
Co 0.000 0.000 2.374
Be 0.000 0.000 0.250
Be 1.561 1.561 1.205
```

## Properties
**Density of states at the Fermi level**: 1.3 states/eV/cell
**E_form (uncorrected)**: 0.323 eV/atom
**SG**: P4mm (99)
**Uncorrected energy**: -61.98 eV/cell


No. 6
Here is ScBeCo2Sb at its PBEsol-relaxed geometry from Alexandria. Energies are from SCAN.

Structure (extended XYZ):
```
5
Lattice="-0.517 2.198 3.346 1.570 -2.992 2.208 4.033 1.734 -0.517" Properties=species:S:1:pos:R:3 pbc="T T T"
Sc 2.543 0.470 2.519
Sb 2.016 0.867 -0.258
Co 0.785 -1.496 1.104
Co -0.258 1.099 1.673
Be 0.000 0.000 0.000
```

## Properties
**Density of states at the Fermi level**: 3.7 states/eV/cell
**E_form (uncorrected)**: 0.303 eV/atom
**SG**: P4/mmm (123)
**Uncorrected energy**: -88.94 eV/cell


No. 7
Here is Sc2BeCo at its PBEsol-relaxed geometry from Alexandria. Energies are from SCAN.

Structure (extended XYZ):
```
4
Lattice="4.298 0.000 0.000 2.149 3.722 0.000 2.149 1.241 3.509" Properties=species:S:1:pos:R:3 pbc="T T T"
Sc 0.000 0.000 0.000
Sc 6.447 3.722 2.632
Be 4.298 2.481 1.755
Co 2.149 1.241 0.877
```

## Properties
**Density of states at the Fermi level**: 3.2 states/eV/cell
**SG**: F-43m (216)
**E_form**: 0.30 eV/f.u.
**Uncorrected energy**: -49.83 eV/cell


No. 8
Here is ScBeCo2 at its PBEsol-relaxed geometry from Alexandria. Energies are from SCAN.

Structure (extended XYZ):
```
4
Lattice="-0.757 -1.387 2.541 0.354 -3.818 -1.979 3.719 2.433 0.675" Properties=species:S:1:pos:R:3 pbc="T T T"
Sc -0.379 -0.694 1.270
Be 0.177 -1.909 -0.989
Co 1.363 -2.678 0.706
Co 1.953 -0.094 0.531
```

## Properties
**Density of states at the Fermi level**: 2.8 states/eV/cell
**SG**: Immm (71)
**E_form**: 0.08 eV/f.u.
**Uncorrected energy**: -53.12 eV/cell


No. 9
Here is Sc2Be2Co at its PBEsol-relaxed geometry from Alexandria. Energies are from SCAN.

Structure (extended XYZ):
```
5
Lattice="3.649 0.000 0.000 0.000 3.649 0.000 -1.824 -1.824 5.528" Properties=species:S:1:pos:R:3 pbc="T T T"
Sc 0.000 1.824 2.764
Sc 1.824 0.000 2.764
Be 0.000 0.000 4.568
Be 1.824 1.824 0.960
Co 0.000 0.000 0.000
```

## Properties
**Density of states at the Fermi level**: 2.9 states/eV/cell
**SG**: I4/mmm (139)
**E_form**: 3.18 eV/f.u.
**Uncorrected energy**: -51.31 eV/cell


No. 10
Here is ScBe3Co at its PBEsol-relaxed geometry from Alexandria. Energies are from SCAN.

Structure (extended XYZ):
```
5
Lattice="3.931 0.000 0.000 0.000 3.931 0.000 0.000 0.000 3.931" Properties=species:S:1:pos:R:3 pbc="T T T"
Sc 1.966 1.966 1.966
Be 0.000 1.966 0.000
Be 0.000 0.000 1.966
Be 1.966 0.000 0.000
Co 0.000 0.000 0.000
```

## Properties
**Density of states at the Fermi level**: 1.9 states/eV/cell
**SG**: Pm-3m (221)
**E_form**: -0.21 eV/f.u.
**Uncorrected energy**: -44.81 eV/cell


No. 11
Here is Sc2BeCo at its PBEsol-relaxed geometry from Alexandria. Energies are from SCAN.

Structure (extended XYZ):
```
4
Lattice="3.135 0.000 0.000 1.568 2.715 0.000 1.568 0.905 7.610" Properties=species:S:1:pos:R:3 pbc="T T T"
Sc 1.568 0.905 1.782
Sc 4.703 2.715 5.828
Be 3.135 1.810 3.805
Co 0.000 0.000 0.000
```

## Properties
**Density of states at the Fermi level**: 2.9 states/eV/cell
**SG**: R-3m (166)
**E_form**: 0.97 eV/f.u.
**Uncorrected energy**: -49.16 eV/cell


No. 12
Here is ScBe4Co at its PBEsol-relaxed geometry from Alexandria. Energies are from SCAN.

Structure (extended XYZ):
```
6
Lattice="4.381 0.000 0.000 2.190 3.794 0.000 2.190 1.265 3.577" Properties=species:S:1:pos:R:3 pbc="T T T"
Sc 0.000 0.000 0.000
Be 3.304 1.908 1.349
Be 4.381 2.529 3.107
Be 5.457 1.908 1.349
Be 4.381 3.772 1.349
Co 6.571 3.794 2.683
```

## Properties
**SG**: F-43m (216)
**E_form**: -1.63 eV/f.u.
**Uncorrected energy**: -50.58 eV/cell


No. 13
Here is Sc2BeCo at its PBEsol-relaxed geometry from Alexandria. Energies are from SCAN.

Structure (extended XYZ):
```
4
Lattice="-0.043 3.462 0.264 -2.976 -0.209 2.251 2.981 -1.991 3.756" Properties=species:S:1:pos:R:3 pbc="T T T"
Sc 0.638 -0.056 0.838
Sc 0.824 -0.308 4.163
Be 1.812 1.570 2.540
Co -0.383 1.527 2.738
```

## Properties
**Density of states at the Fermi level**: 2.5 states/eV/cell
**SG**: Amm2 (38)
**E_form**: -0.60 eV/f.u.
**Uncorrected energy**: -50.74 eV/cell


No. 14
Here is Sc2BeCo at its PBEsol-relaxed geometry from Alexandria. Energies are from SCAN.

Structure (extended XYZ):
```
4
Lattice="-0.914 1.872 2.338 -4.006 0.217 -1.739 -1.201 -3.499 2.332" Properties=species:S:1:pos:R:3 pbc="T T T"
Sc -2.003 0.108 -0.869
Sc -0.600 -1.749 1.166
Be -0.457 0.936 1.169
Co -3.060 -0.705 1.465
```

## Properties
**Density of states at the Fermi level**: 2.8 states/eV/cell
**SG**: P4/mmm (123)
**E_form**: -0.81 eV/f.u.
**Uncorrected energy**: -50.95 eV/cell


No. 15
Here is Be2CoSe at its PBEsol-relaxed geometry from Alexandria. Energies are from SCAN.

Structure (extended XYZ):
```
4
Lattice="2.641 0.000 0.000 0.000 2.641 0.000 0.000 0.000 7.084" Properties=species:S:1:pos:R:3 pbc="T T T"
Be 0.000 0.000 5.962
Be 0.000 0.000 1.121
Co 1.321 1.321 0.000
Se 1.321 1.321 3.542
```

## Properties
**Density of states at the Fermi level**: 1.2 states/eV/cell
**E_form (uncorrected)**: 0.166 eV/atom
**SG**: P4/mmm (123)
**Uncorrected energy**: -45.42 eV/cell